Record 1
VASP calculation (PBE) on crystalline Hf2TlSiF at its relaxed geometry.

Computed properties:
**Volume**: 96.6 Å³ per cell
**Formation energy from raw total energies**: -1.020 eV/f.u.

a b c (Å): 4.3661 5.0683 4.3661
angles (deg): 90.00 90.00 90.00
With the nearest neighbours (Å) after each atom.
Fractional positions:
Si 0.0000 0.5000 0.0000  2 F 2.53
Hf 0.0000 0.0000 0.5000  2 F 2.18
Hf 0.5000 0.0000 0.0000  2 F 2.18
F 0.0000 0.0000 0.0000  4 Hf 2.18
Tl 0.5000 0.5000 0.5000  4 Si 3.09, 8 Hf 3.34

=====

Record 2
VASP calculation (PBE) on crystalline RbHfTl at its relaxed geometry.

Computed properties:
**Volume**: 207.9 Å³ per cell
**ΔH_f (0 K)**: 0.4 eV/f.u.
**Polymorph energy (0 for the lowest one)**: 0 meV/atom

a b c (Å): 3.4572 4.1251 14.5767
angles (deg): 89.66 90.60 90.00
With the nearest neighbours (Å) after each atom.
Fractional positions:
Rb 0.2655 0.2428 0.3448  2 Rb 3.46, 4 Tl 3.76
Tl 0.2427 0.2537 0.8351  5 Hf 3.13-3.21, 2 Tl 3.46
Hf 0.2525 0.2487 0.0556  5 Tl 3.13-3.21, 6 Hf 3.14-3.46
Tl 0.7573 0.7463 0.1649  5 Hf 3.13-3.21, 2 Tl 3.46
Rb 0.7345 0.7572 0.6552  2 Rb 3.46, 4 Tl 3.76
Hf 0.7475 0.7513 0.9444  5 Tl 3.13-3.21, 6 Hf 3.14-3.46

=====

Record 3
VASP calculation (PBE) on crystalline Tl2CrRh at its relaxed geometry.

Computed properties:
**Volume**: 82.3 Å³ per cell
**ΔH_f (0 K)**: 1.7 eV/f.u.
**Polymorph energy (0 for the lowest one)**: 133 meV/atom

a b c (Å): 9.4622 9.4622 9.4622
angles (deg): 19.47 19.47 19.47
With the nearest neighbours (Å) after each atom.
Fractional positions:
Rh 0.2393 0.2393 0.2393  3 Cr 2.52
Tl 0.9894 0.9894 0.9894  3 Rh 2.97, 6 Tl 3.20
Tl 0.7601 0.7601 0.7601  3 Cr 2.99, 6 Tl 3.20
Cr 0.5112 0.5112 0.5112  3 Rh 2.52

=====

Record 4
VASP calculation (PBE) on crystalline Y2HgSb2 at its relaxed geometry.

Computed properties:
**Volume**: 145.7 Å³ per cell
**Formation energy from raw total energies**: -2.215 eV/f.u.
**Polymorph energy (0 for the lowest one)**: 337 meV/atom

a b c (Å): 4.2241 4.2241 8.6945
angles (deg): 75.94 75.94 90.00
With the nearest neighbours (Å) after each atom.
Fractional positions:
Hg 0.0000 0.0000 0.0000  8 Y 3.44
Y 0.3961 0.3961 0.2078  4 Sb 3.19, 1 Y 3.39, 4 Hg 3.44
Sb 0.7500 0.2500 0.5000  4 Sb 2.99, 4 Y 3.19
Sb 0.2500 0.7500 0.5000  4 Sb 2.99, 4 Y 3.19
Y 0.6039 0.6039 0.7922  4 Sb 3.19, 1 Y 3.39, 4 Hg 3.44

=====

Record 5
VASP calculation (PBE) on crystalline LiTc2Pb at its relaxed geometry.

Computed properties:
**Volume**: 65.3 Å³ per cell
**ΔH_f (0 K)**: 1.9 eV/f.u.

a b c (Å): 5.3046 5.3046 5.3046
angles (deg): 138.31 138.31 60.42
With the nearest neighbours (Å) after each atom.
Fractional positions:
Tc 0.5000 0.5000 0.0000  4 Tc 2.67, 4 Li 2.97, 4 Pb 2.97
Pb 0.7500 0.2500 0.5000  4 Li 2.67, 8 Tc 2.97
Tc 0.0000 0.0000 0.0000  4 Tc 2.67, 4 Pb 2.97, 4 Li 2.97
Li 0.2500 0.7500 0.5000  4 Pb 2.67, 8 Tc 2.97

=====

Record 6
VASP calculation (PBE) on crystalline BaFeNi at its relaxed geometry.

Computed properties:
**Volume**: 65.2 Å³ per cell
**ΔH_f (0 K)**: 1.4 eV/f.u.
**Polymorph energy (0 for the lowest one)**: 112 meV/atom

a b c (Å): 6.1523 6.1523 6.1523
angles (deg): 147.98 148.00 45.90
With the nearest neighbours (Å) after each atom.
Fractional positions:
Fe 0.2714 0.2714 0.0000  4 Ni 2.45
Ni 0.7276 0.7276 0.0000  4 Fe 2.45
Ba 0.0011 0.0011 0.0000  1 Fe 3.06, 1 Ni 3.10, 4 Ba 3.39

=====

Record 7
VASP calculation (PBE) on crystalline NaBeSn3 at its relaxed geometry.

Computed properties:
**Volume**: 156.3 Å³ per cell
**ΔH_f (0 K)**: 5.7 eV/f.u.
**Polymorph energy (0 for the lowest one)**: 933 meV/atom

a b c (Å): 5.3866 5.3866 5.3866
angles (deg): 90.00 90.00 90.00
With the nearest neighbours (Å) after each atom.
Fractional positions:
Sn 0.5000 0.0000 0.0000  2 Na 2.69
Be 0.5000 0.5000 0.5000  12 Sn 3.81
Sn 0.0000 0.0000 0.5000  2 Na 2.69
Sn 0.0000 0.5000 0.0000  2 Na 2.69
Na 0.0000 0.0000 0.0000  6 Sn 2.69

=====

Record 8
VASP calculation (PBE) on crystalline BaHoMg2Au4 at its relaxed geometry.

Computed properties:
**Volume**: 194.6 Å³ per cell
**ΔH_f (0 K)**: -5.6 eV/f.u.

a b c (Å): 4.7592 4.7592 10.2927
angles (deg): 76.63 76.63 60.00
With the nearest neighbours (Å) after each atom.
Fractional positions:
Ba 0.0000 0.0000 0.0000  8 Au 3.44-3.59
Au 0.8792 0.8792 0.3623  3 Mg 2.84, 3 Ho 3.07, 3 Au 3.14
Au 0.1208 0.1208 0.6377  3 Mg 2.84, 3 Ho 3.07, 3 Au 3.14
Mg 0.2373 0.2373 0.2880  6 Au 2.84-2.86
Au 0.4029 0.4029 0.7913  3 Mg 2.86, 1 Ho 2.89, 3 Au 3.14
Au 0.5971 0.5971 0.2087  3 Mg 2.86, 1 Ho 2.89, 3 Au 3.14
Mg 0.7627 0.7627 0.7120  6 Au 2.84-2.86
Ho 0.5000 0.5000 0.5000  8 Au 2.89-3.07

=====

Record 9
VASP calculation (PBE) on crystalline Pr2Sn3SbPd4 at its relaxed geometry.

Computed properties:
**Volume**: 229.6 Å³ per cell
**Formation energy from raw total energies**: -7.742 eV/f.u.

a b c (Å): 4.6314 4.6314 10.7051
angles (deg): 90.00 90.00 90.00
With the nearest neighbours (Å) after each atom.
Fractional positions:
Sn 0.5000 0.0000 0.8735  5 Pd 2.61-2.68
Pd 0.5000 0.5000 0.0000  4 Sn 2.68
Sb 0.5000 0.5000 0.5000  4 Pd 2.70
Pr 0.5000 0.0000 0.2405  8 Pd 3.46-3.56, 6 Sn 3.49-3.62, 2 Sb 3.62
Sn 0.0000 0.5000 0.1265  5 Pd 2.61-2.68
Sn 0.0000 0.0000 0.5000  4 Pd 2.70
Pd 0.0000 0.5000 0.3707  3 Sn 2.61-2.70, 2 Sb 2.70
Pd 0.0000 0.0000 0.0000  4 Sn 2.68
Pr 0.0000 0.5000 0.7595  8 Pd 3.46-3.56, 6 Sn 3.49-3.62, 2 Sb 3.62
Pd 0.5000 0.0000 0.6293  3 Sn 2.61-2.70, 2 Sb 2.70

=====

Record 10
VASP calculation (PBE) on crystalline NbBr2O2 at its relaxed geometry.

Computed properties:
**Volume**: 79.9 Å³ per cell
**Formation energy from raw total energies**: 2.578 eV/f.u.
**Polymorph energy (0 for the lowest one)**: 17 meV/atom

a b c (Å): 3.0800 3.0800 8.7031
angles (deg): 79.81 79.81 90.00
With the nearest neighbours (Å) after each atom.
Fractional positions:
O 0.7500 0.2500 0.5000  4 O 2.18
Nb 0.0000 0.0000 0.0000  8 Br 2.74
Br 0.4013 0.4013 0.1975  4 Nb 2.74, 4 O 2.98
O 0.2500 0.7500 0.5000  4 O 2.18
Br 0.5987 0.5987 0.8025  4 Nb 2.74, 4 O 2.98

=====

Record 11
VASP calculation (PBE) on crystalline MgRe2Br at its relaxed geometry.

Computed properties:
**Volume**: 80.7 Å³ per cell
**Formation energy from raw total energies**: 3.715 eV/f.u.
**Polymorph energy (0 for the lowest one)**: 774 meV/atom

a b c (Å): 6.2349 3.5979 3.5979
angles (deg): 90.00 90.00 90.00
With the nearest neighbours (Å) after each atom.
Fractional positions:
Re 0.0000 0.5000 0.5000  4 Re 2.54
Re 0.0000 0.0000 0.0000  4 Re 2.54
Mg 0.5000 0.0000 0.5000  4 Br 2.54
Br 0.5000 0.5000 0.0000  4 Mg 2.54

=====

Record 12
VASP calculation (PBE) on crystalline Hf5BiC at its relaxed geometry.

Computed properties:
**Volume**: 319.8 Å³ per cell
**ΔH_f (0 K)**: 0.1 eV/f.u.

a b c (Å): 6.4994 6.4994 8.2995
angles (deg): 75.38 75.38 74.07
With the nearest neighbours (Å) after each atom.
Fractional positions:
Hf 0.0875 0.3182 0.8605  1 C 2.25
Hf 0.8525 0.3425 0.5487  1 C 2.26
Hf 0.6818 0.9125 0.6395  1 C 2.25
Hf 0.3182 0.0875 0.3605  1 C 2.25
Hf 0.9151 0.0849 0.2500  2 C 2.18
Hf 0.9125 0.6818 0.1395  1 C 2.25
Bi 0.4459 0.5541 0.7500  5 Hf 2.83-2.96
Hf 0.6575 0.1475 0.9513  1 C 2.26
C 0.0000 0.0000 0.5000  6 Hf 2.18-2.26
Bi 0.5541 0.4459 0.2500  5 Hf 2.83-2.96
Hf 0.0849 0.9151 0.7500  2 C 2.18
C 0.0000 0.0000 0.0000  6 Hf 2.18-2.26
Hf 0.3425 0.8525 0.0487  1 C 2.26
Hf 0.1475 0.6575 0.4513  1 C 2.26